Entry 1:
! Pt5C4 (PBE, relaxed); values from VASP
&SYSTEM
  ibrav = 0, nat = 18, ntyp = 2
/
ATOMIC_SPECIES
C 12.01 C.upf
Pt 195.08 Pt.upf
CELL_PARAMETERS angstrom
6.066 0.000 0.000
-3.033 5.253 0.000
0.000 0.000 6.959
ATOMIC_POSITIONS crystal
C 0.000 0.000 0.000
C 0.000 0.000 0.500
C 0.000 0.395 0.250
C 0.605 0.605 0.250
C 0.395 0.000 0.250
C 0.000 0.605 0.750
C 0.395 0.395 0.750
C 0.605 0.000 0.750
Pt 0.000 0.726 0.250
Pt 0.274 0.274 0.250
Pt 0.726 0.000 0.250
Pt 0.000 0.274 0.750
Pt 0.726 0.726 0.750
Pt 0.274 0.000 0.750
Pt 0.667 0.333 0.000
Pt 0.333 0.667 0.500
Pt 0.333 0.667 0.000
Pt 0.667 0.333 0.500
! space-group type = P6_3/mcm, No. 193
! VASP energy = -109.4 eV/cell
! DFT formation energy = 1198 kJ/mol of formula units
! DOS(E_F) = 0.422 states/eV per atom

Entry 2:
! Pt3C (PBE, relaxed); values from VASP
&SYSTEM
  ibrav = 0, nat = 4, ntyp = 2
/
ATOMIC_SPECIES
C 12.01 C.upf
Pt 195.08 Pt.upf
CELL_PARAMETERS angstrom
-0.605 -2.860 0.779
3.669 -0.366 1.504
0.207 1.302 4.937
ATOMIC_POSITIONS crystal
C 0.000 0.000 0.000
Pt 0.500 0.845 0.799
Pt 0.000 0.500 0.500
Pt 0.500 0.155 0.201
! space-group type = P2/m, No. 10
! VASP energy = -25.0 eV/cell
! DFT formation energy = 222 kJ/mol of formula units
! DOS(E_F) = 0.638 states/eV per atom

Entry 3:
! Pt3C (PBE, relaxed); values from VASP
&SYSTEM
  ibrav = 0, nat = 8, ntyp = 2
/
ATOMIC_SPECIES
Pt 195.08 Pt.upf
C 12.01 C.upf
CELL_PARAMETERS angstrom
-7.854 3.374 3.979
-6.278 7.035 0.061
5.523 -6.565 -3.912
ATOMIC_POSITIONS crystal
Pt 0.000 0.500 0.500
Pt 0.500 0.000 0.500
Pt 0.750 0.250 0.500
Pt 0.250 0.750 0.500
Pt 0.900 0.900 0.000
Pt 0.100 0.100 0.000
C 0.795 0.795 0.000
C 0.205 0.205 0.000
! space-group type = I4/mmm, No. 139
! VASP energy = -49.6 eV/cell
! DFT formation energy = 246 kJ/mol of formula units
! DOS(E_F) = 0.608 states/eV per atom

Entry 4:
! PtC (PBE, relaxed); values from VASP
&SYSTEM
  ibrav = 0, nat = 16, ntyp = 2
/
ATOMIC_SPECIES
Pt 195.08 Pt.upf
C 12.01 C.upf
CELL_PARAMETERS angstrom
5.920 0.000 0.000
0.000 5.736 0.000
0.000 0.000 6.997
ATOMIC_POSITIONS crystal
Pt 0.704 0.132 0.037
Pt 0.204 0.368 0.963
Pt 0.296 0.632 0.463
Pt 0.796 0.868 0.537
Pt 0.327 0.907 0.790
Pt 0.827 0.593 0.210
Pt 0.673 0.407 0.710
Pt 0.173 0.093 0.290
C 0.364 0.057 0.049
C 0.864 0.443 0.951
C 0.636 0.557 0.451
C 0.136 0.943 0.549
C 0.356 0.554 0.765
C 0.856 0.946 0.235
C 0.644 0.054 0.735
C 0.144 0.446 0.265
! space-group type = P2_12_12_1, No. 19
! VASP energy = -104.8 eV/cell
! DFT formation energy = 209 kJ/mol of formula units
! DOS(E_F) = 0.374 states/eV per atom

Entry 5:
! PtC (PBE, relaxed); values from VASP
&SYSTEM
  ibrav = 0, nat = 16, ntyp = 2
/
ATOMIC_SPECIES
Pt 195.08 Pt.upf
C 12.01 C.upf
CELL_PARAMETERS angstrom
6.440 0.000 0.000
0.000 6.440 0.000
0.000 0.000 6.440
ATOMIC_POSITIONS crystal
Pt 0.342 0.342 0.342
Pt 0.342 0.658 0.658
Pt 0.658 0.342 0.658
Pt 0.658 0.658 0.342
Pt 0.842 0.842 0.842
Pt 0.842 0.158 0.158
Pt 0.158 0.842 0.158
Pt 0.158 0.158 0.842
C 0.170 0.170 0.170
C 0.170 0.830 0.830
C 0.830 0.170 0.830
C 0.830 0.830 0.170
C 0.670 0.670 0.670
C 0.670 0.330 0.330
C 0.330 0.670 0.330
C 0.330 0.330 0.670
! space-group type = I-43m, No. 217
! VASP energy = -104.3 eV/cell
! DFT formation energy = 215 kJ/mol of formula units
! DOS(E_F) = 0.570 states/eV per atom

Entry 6:
! Pt3C (PBE, relaxed); values from VASP
&SYSTEM
  ibrav = 0, nat = 4, ntyp = 2
/
ATOMIC_SPECIES
C 12.01 C.upf
Pt 195.08 Pt.upf
CELL_PARAMETERS angstrom
4.096 0.000 0.000
0.000 4.096 0.000
0.000 0.000 4.096
ATOMIC_POSITIONS crystal
C 0.000 0.000 0.000
Pt 0.500 0.000 0.000
Pt 0.000 0.500 0.000
Pt 0.000 0.000 0.500
! space-group type = Pm-3m, No. 221
! VASP energy = -25.2 eV/cell
! DFT formation energy = 212 kJ/mol of formula units
! DOS(E_F) = 0.181 states/eV per atom